Compound: NdSm4Sc2
Source: Alexandria via LeMat-Bulk
Functional: PBE-GGA
Structure: relaxed

Cell and atoms, written as extended XYZ:
```
14
Lattice="1.761 -7.791 0.000 1.761 7.791 0.000 -0.895 0.000 16.493" Properties=species:S:1:pos:R:3 pbc="T T T"
Nd 1.090 4.773 12.370
Nd 1.537 -4.773 4.123
Sm 0.059 0.798 6.921
Sm -0.389 -0.798 15.168
Sm 0.731 2.736 15.280
Sm 1.449 2.736 9.460
Sm 1.178 -2.736 7.034
Sm 1.896 -2.736 1.213
Sm 3.016 0.798 1.326
Sm 2.568 -0.798 9.572
Sc 1.537 5.731 4.123
Sc 1.537 0.294 4.123
Sc 1.090 -0.294 12.370
Sc 1.090 -5.731 12.370
```

ΔH_f (0 K) = 1.6 eV/f.u.
symmetry = No. 15
D(E_F) = 1.463 states/eV/atom
total magnetization = 0.000 μB/atom